# CoMo2Pb (GGA-PBE, relaxed)
data_CoMo2Pb
_symmetry_space_group_name_H-M 'C 1 m 1'
_symmetry_Int_Tables_number 8
_cell_length_a 9.4289
_cell_length_b 3.4521
_cell_length_c 4.5149
_cell_angle_alpha 90.00
_cell_angle_beta 116.77
_cell_angle_gamma 90.00
loop_
_symmetry_equiv_pos_as_xyz
'x,y,z'
'x,-y,z'
'x+1/2,y+1/2,z'
'x+1/2,-y+1/2,z'
loop_
_atom_site_label
_atom_site_type_symbol
_atom_site_fract_x
_atom_site_fract_y
_atom_site_fract_z
Co1 Co 0.0000 0.0000 0.0000
Mo1 Mo 0.0169 0.5000 0.5078
Mo2 Mo 0.2584 0.0000 0.7329
Pb1 Pb 0.2433 0.5000 0.2187
# Crystal system: monoclinic
# M_tot (μB/f.u.): 0.95
# E_form (eV/atom): 0.551